# MgPtS

MgPtS after structural relaxation (PBE-GGA, the Alexandria database).

Lattice parameters (Å, degrees): 3.693 4.669 7.272 72.10 84.71 70.99
Fractional positions:
Mg 0.000 0.000 0.000
Mg 0.483 0.264 0.464
Pt 0.281 0.484 0.859
Pt 0.775 0.614 0.596
S 0.188 0.877 0.386
S 0.703 0.540 0.069

As for the total magnetization: 0.00 μB/atom. The volume comes out at 18.80 Å³/atom. For the final energy, the calculation gives -0.337 Ry per atom.

---

# MgPtS

MgPtS after structural relaxation (PBE-GGA, the Alexandria database).

Lattice parameters (Å, degrees): 9.050 3.708 7.931 90.00 124.78 90.00
Fractional positions:
Mg 0.248 0.000 0.280
Mg 0.252 0.500 0.720
Mg 0.748 0.500 0.280
Mg 0.752 0.000 0.720
Pt 0.130 0.000 0.880
Pt 0.370 0.500 0.120
Pt 0.630 0.500 0.880
Pt 0.870 0.000 0.120
S 0.067 0.500 0.325
S 0.433 0.000 0.675
S 0.567 0.000 0.325
S 0.933 0.500 0.675

As for the total magnetization: 0.00 μB/atom. The volume comes out at 18.21 Å³/atom. For the final energy, the calculation gives -0.348 Ry per atom.

---

Look up the total magnetization of the first one. 0.00 μB/atom

---

Which value of volume does entry 2 give? 18.21 Å³/atom

---

Please write out number 1 again, unchanged.
# MgPtS

MgPtS after structural relaxation (PBE-GGA, the Alexandria database).

Lattice parameters (Å, degrees): 3.693 4.669 7.272 72.10 84.71 70.99
Fractional positions:
Mg 0.000 0.000 0.000
Mg 0.483 0.264 0.464
Pt 0.281 0.484 0.859
Pt 0.775 0.614 0.596
S 0.188 0.877 0.386
S 0.703 0.540 0.069

As for the total magnetization: 0.00 μB/atom. The volume comes out at 18.80 Å³/atom. For the final energy, the calculation gives -0.337 Ry per atom.